Below is an optimized crystal structure of BaYNi3, with properties calculated at the PBE level.

```
BaYNi3
1.0
-3.908 -3.178 0.249
-0.158 -0.201 -5.037
3.184 -3.910 0.056
Y Ni Ba
1 3 1
direct
0.000 0.000 0.000
0.000 0.000 0.500
0.500 0.000 0.000
0.000 0.500 0.000
0.500 0.500 0.500
```

## Properties
energy of formation	0.5745	eV per atom
D(E_F)	0.962	states/eV per atom
SG	No. 221
E_tot	-22.86	eV for the cell shown
E above lowest polymorph	0.000	eV per atom



Below is an optimized crystal structure of Ba2YNi, with properties calculated at the PBE level.

```
Ba2YNi
1.0
4.492 0.000 0.000
0.000 5.491 0.000
0.000 0.000 5.451
Ba Ni Y
2 1 1
direct
0.000 0.000 0.000
0.500 0.500 0.000
0.500 0.000 0.500
0.000 0.500 0.500
```

## Properties
energy of formation	0.5181	eV per atom
D(E_F)	1.591	states/eV per atom
SG	No. 47
E_tot	-14.02	eV for the cell shown
E above lowest polymorph	0.512	eV per atom



Below is an optimized crystal structure of BaY2Ni, with properties calculated at the PBE level.

```
BaY2Ni
1.0
6.527 0.067 0.000
3.287 5.640 0.000
-4.907 -2.853 3.223
Ni Y Ba
1 2 1
direct
0.750 0.250 0.500
0.500 0.500 0.000
0.000 0.000 0.000
0.250 0.750 0.500
```

## Properties
energy of formation	0.4486	eV per atom
D(E_F)	1.522	states/eV per atom
SG	No. 139
E_tot	-18.84	eV for the cell shown
E above lowest polymorph	0.520	eV per atom



Below is an optimized crystal structure of Ba2YNi, with properties calculated at the PBE level.

```
Ba2YNi
1.0
-5.044 0.941 -2.489
-2.581 -0.432 5.067
0.492 4.262 0.614
Y Ni Ba
1 1 2
direct
0.000 0.500 0.500
0.500 0.000 0.500
0.000 0.000 0.000
0.500 0.500 0.000
```

## Properties
energy of formation	0.4992	eV per atom
D(E_F)	1.406	states/eV per atom
SG	No. 123
E_tot	-14.09	eV for the cell shown
E above lowest polymorph	0.493	eV per atom



Below is an optimized crystal structure of BaY2Ni, with properties calculated at the PBE level.

```
BaY2Ni
1.0
6.482 -0.009 0.121
5.402 3.583 0.121
3.233 0.972 5.733
Ba Y Ni
1 2 1
direct
0.439 0.439 0.509
0.266 0.266 0.173
0.079 0.079 0.874
0.716 0.716 0.944
```

## Properties
energy of formation	0.0578	eV per atom
D(E_F)	1.315	states/eV per atom
SG	No. 8
E_tot	-20.40	eV for the cell shown
E above lowest polymorph	0.129	eV per atom



Below is an optimized crystal structure of Ba2YNi, with properties calculated at the PBE level.

```
Ba2YNi
1.0
-2.819 -4.795 1.811
0.192 -1.552 5.636
-4.778 0.501 3.336
Ni Ba Y
1 2 1
direct
0.000 0.000 0.000
0.750 0.750 0.750
0.250 0.250 0.250
0.500 0.500 0.500
```

## Properties
energy of formation	0.6109	eV per atom
D(E_F)	2.170	states/eV per atom
SG	No. 225
E_tot	-13.65	eV for the cell shown
E above lowest polymorph	0.605	eV per atom